(1)
This record from Alexandria describes crystalline CaTlTc2 at its relaxed geometry. The functional is PBEsol.

abc: 3.4539 4.5115 4.6110
angles: 90.00 90.00 90.00
Sites, in units of the cell vectors:
Tc 0.0000 0.0000 0.0000
Ca 0.0000 0.5000 0.5000
Tc 0.5000 0.5000 0.0000
Tl 0.5000 0.0000 0.5000

Output
Energy above the most stable polymorph in this dataset, meV per atom: 0
Final energy, eV/cell: -24.50
Density of states at the Fermi level, states/eV/f.u.: 3.658
Crystal system: orthorhombic
Calculated density, g cm⁻³: 10.2
Space group: Pmmm

(2)
This record from Alexandria describes crystalline CaTl2Tc at its relaxed geometry. The functional is PBEsol.

abc: 4.0802 4.5383 4.5383
angles: 90.00 90.00 90.00
Site moments in Bohr magnetons follow the coordinates.
Sites, in units of the cell vectors:
Tl 0.0000 0.5000 0.0000  -0.01
Ca 0.5000 0.5000 0.5000  -0.01
Tl 0.0000 0.0000 0.5000  -0.01
Tc 0.5000 0.0000 0.0000  0.56

Output
Energy above the most stable polymorph in this dataset, meV per atom: 31
Final energy, eV/cell: -17.05
Density of states at the Fermi level, states/eV/f.u.: 3.405
Crystal system: tetragonal
Calculated density, g cm⁻³: 10.8
Space group: P4/mmm

(3)
This record from Alexandria describes crystalline CaYTc2 at its relaxed geometry. The functional is PBEsol.

abc: 2.9249 2.9249 9.2891
angles: 90.00 90.00 108.73
Sites, in units of the cell vectors:
Ca 0.5000 0.5000 0.0000
Tc 0.0000 0.0000 0.2578
Tc 0.0000 0.0000 0.7422
Y 0.5000 0.5000 0.5000

Output
Final energy, eV/cell: -29.00
Density of states at the Fermi level, states/eV/f.u.: 4.071
Crystal system: orthorhombic
Calculated density, g cm⁻³: 7.2
Space group: Cmmm

(4)
This record from Alexandria describes crystalline Ca2YTc at its relaxed geometry. The functional is PBEsol.

abc: 3.3415 4.5808 8.4049
angles: 105.81 101.47 90.00
Site moments in Bohr magnetons follow the coordinates.
Sites, in units of the cell vectors:
Ca 0.8391 0.8391 0.6783  0.01
Tc 0.5000 0.0000 0.0000  0.31
Ca 0.1609 0.1609 0.3217  0.01
Y 0.0000 0.5000 0.0000  -0.01

Output
Energy above the most stable polymorph in this dataset, meV per atom: 0
Final energy, eV/cell: -20.86
Density of states at the Fermi level, states/eV/f.u.: 5.641
Crystal system: orthorhombic
Calculated density, g cm⁻³: 3.7
Space group: Immm

(5)
This record from Alexandria describes crystalline Ca2YTc at its relaxed geometry. The functional is PBEsol.

abc: 4.4613 4.4613 5.8768
angles: 112.31 112.31 90.00
Sites, in units of the cell vectors:
Y 0.0000 0.0000 0.0000
Ca 0.7500 0.2500 0.5000
Tc 0.5000 0.5000 0.0000
Ca 0.2500 0.7500 0.5000

Output
Energy above the most stable polymorph in this dataset, meV per atom: 153
Final energy, eV/cell: -20.25
Density of states at the Fermi level, states/eV/f.u.: 3.016
Crystal system: tetragonal
Calculated density, g cm⁻³: 4.5
Space group: I4/mmm

(6)
This record from Alexandria describes crystalline CaYTc at its relaxed geometry. The functional is PBEsol.

abc: 4.7624 4.7624 4.7624
angles: 60.00 60.00 60.00
Site moments in Bohr magnetons follow the coordinates.
Sites, in units of the cell vectors:
Tc 0.5000 0.5000 0.5000  0.62
Ca 0.0000 0.0000 0.0000  -0.03
Y 0.2500 0.2500 0.2500  -0.04

Output
Final energy, eV/cell: -16.50
Density of states at the Fermi level, states/eV/f.u.: 4.985
Crystal system: cubic
Calculated density, g cm⁻³: 4.9
Space group: F-43m

(7)
This record from Alexandria describes crystalline Ca2ZnTc at its relaxed geometry. The functional is PBEsol.

abc: 3.2954 3.2954 7.9483
angles: 90.00 90.00 90.00
Site moments in Bohr magnetons follow the coordinates.
Sites, in units of the cell vectors:
Tc 0.5000 0.5000 0.0000  1.34
Ca 0.0000 0.0000 0.2389  0.01
Ca 0.0000 0.0000 0.7611  0.01
Zn 0.5000 0.5000 0.5000  -0.01

Output
Final energy, eV/cell: -15.35
Density of states at the Fermi level, states/eV/f.u.: 3.621
Crystal system: tetragonal
Calculated density, g cm⁻³: 4.7
Space group: P4/mmm

(8)
This record from Alexandria describes crystalline Ca2ZnTc at its relaxed geometry. The functional is PBEsol.

abc: 3.4000 3.4000 8.0629
angles: 90.00 90.00 90.00
Sites, in units of the cell vectors:
Ca 0.0000 0.0000 0.9227
Zn 0.5000 0.5000 0.6809
Tc 0.0000 0.0000 0.5708
Ca 0.5000 0.5000 0.3256

Output
Final energy, eV/cell: -16.14
Density of states at the Fermi level, states/eV/f.u.: 4.272
Crystal system: tetragonal
Calculated density, g cm⁻³: 4.3
Space group: P4mm

(9)
This record from Alexandria describes crystalline Ca2ZnTc at its relaxed geometry. The functional is PBEsol.

abc: 4.4115 4.2865 4.2865
angles: 90.00 90.00 90.00
Site moments in Bohr magnetons follow the coordinates.
Sites, in units of the cell vectors:
Tc 0.5000 0.5000 0.5000  0.36
Ca 0.0000 0.5000 0.0000  0.00
Ca 0.0000 0.0000 0.5000  0.00
Zn 0.5000 0.0000 0.0000  -0.01

Output
Final energy, eV/cell: -15.06
Density of states at the Fermi level, states/eV/f.u.: 3.340
Crystal system: tetragonal
Calculated density, g cm⁻³: 5.0
Space group: P4/mmm

(10)
This record from Alexandria describes crystalline CaZn3Tc at its relaxed geometry. The functional is PBEsol.

abc: 4.7474 4.7474 4.7474
angles: 90.00 90.00 90.00
Sites, in units of the cell vectors:
Ca 0.5000 0.5000 0.5000
Zn 0.5000 0.0000 0.0000
Zn 0.0000 0.0000 0.5000
Tc 0.0000 0.0000 0.0000
Zn 0.0000 0.5000 0.0000

Output
Final energy, eV/cell: -16.84
Density of states at the Fermi level, states/eV/f.u.: 3.158
Crystal system: cubic
Calculated density, g cm⁻³: 5.2
Space group: Pm-3m

(11)
This record from Alexandria describes crystalline CaZrTc2 at its relaxed geometry. The functional is PBEsol.

abc: 3.0739 3.8886 7.0100
angles: 90.00 97.21 90.00
Sites, in units of the cell vectors:
Zr 0.9243 0.0000 0.4200
Tc 0.0764 0.0000 0.0751
Tc 0.4511 0.5000 0.2178
Ca 0.5483 0.5000 0.7871

Output
Energy above the most stable polymorph in this dataset, meV per atom: 0
Final energy, eV/cell: -32.55
Density of states at the Fermi level, states/eV/f.u.: 2.768
Crystal system: monoclinic
Calculated density, g cm⁻³: 6.5
Space group: Pm

(12)
This record from Alexandria describes crystalline CaZrTc2 at its relaxed geometry. The functional is PBEsol.

abc: 3.8784 3.8784 5.5001
angles: 110.64 110.64 90.00
Sites, in units of the cell vectors:
Tc 0.0000 0.0000 0.0000
Tc 0.7500 0.2500 0.5000
Ca 0.2500 0.7500 0.5000
Zr 0.5000 0.5000 0.0000

Output
Energy above the most stable polymorph in this dataset, meV per atom: 290
Final energy, eV/cell: -31.39
Density of states at the Fermi level, states/eV/f.u.: 5.195
Crystal system: tetragonal
Calculated density, g cm⁻³: 7.6
Space group: I-4m2

(13)
This record from Alexandria describes crystalline CaTe at its relaxed geometry. The functional is PBEsol.

abc: 3.9860 4.3025 4.3025
angles: 120.00 90.00 90.00
Sites, in units of the cell vectors:
Ca 0.0000 0.0000 0.0000
Te 0.5000 0.6667 0.3333

Output
Final energy, eV/cell: -8.66
Density of states at the Fermi level, states/eV/f.u.: 0.000
ΔE_f (raw), eV/atom: -1.4991
Crystal system: hexagonal
Calculated density, g cm⁻³: 4.4
Space group: P-6m2

(14)
This record from Alexandria describes crystalline CaTe at its relaxed geometry. The functional is PBEsol.

abc: 4.4532 4.4532 4.4532
angles: 60.00 60.00 60.00
Sites, in units of the cell vectors:
Te 0.0000 0.0000 0.0000
Ca 0.5000 0.5000 0.5000

Output
Final energy, eV/cell: -8.97
Density of states at the Fermi level, states/eV/f.u.: 0.000
ΔE_f (raw), eV/atom: -1.6541
Crystal system: cubic
Calculated density, g cm⁻³: 4.5
Space group: Fm-3m

(15)
This record from Alexandria describes crystalline CaTe3 at its relaxed geometry. The functional is PBEsol.

abc: 5.4882 5.4882 5.4882
angles: 109.47 109.47 109.47
Sites, in units of the cell vectors:
Te 0.5000 0.5000 0.0000
Ca 0.0000 0.0000 0.0000
Te 0.0000 0.5000 0.5000
Te 0.5000 0.0000 0.5000

Output
Final energy, eV/cell: -15.72
Density of states at the Fermi level, states/eV/f.u.: 1.521
ΔE_f (raw), eV/atom: -0.7511
Crystal system: cubic
Calculated density, g cm⁻³: 5.5
Space group: Im-3m

(16)
This record from Alexandria describes crystalline CaTe at its relaxed geometry. The functional is PBEsol.

abc: 4.3947 4.3947 7.5580
angles: 90.00 90.00 120.00
Sites, in units of the cell vectors:
Ca 0.0000 0.0000 0.0000
Ca 0.0000 0.0000 0.5000
Te 0.3333 0.6667 0.2500
Te 0.6667 0.3333 0.7500

Output
Final energy, eV/cell: -17.78
Density of states at the Fermi level, states/eV/f.u.: 0.000
ΔE_f (raw), eV/atom: -1.6164
Crystal system: hexagonal
Calculated density, g cm⁻³: 4.4
Space group: P6_3/mmc

(17)
This record from Alexandria describes crystalline CaTe at its relaxed geometry. The functional is PBEsol.

abc: 5.1899 5.1899 7.8822
angles: 70.81 70.81 60.03
Sites, in units of the cell vectors:
Te 0.7519 0.7519 0.7441
Ca 0.8937 0.8937 0.3185
Ca 0.1062 0.1062 0.6815
Te 0.2480 0.2480 0.2559

Output
Final energy, eV/cell: -16.47
Density of states at the Fermi level, states/eV/f.u.: 0.000
ΔE_f (raw), eV/atom: -1.2888
Crystal system: trigonal
Calculated density, g cm⁻³: 3.3
Space group: R-3m

(18)
This record from Alexandria describes crystalline Ca2TlTe at its relaxed geometry. The functional is PBEsol.

abc: 3.9271 3.9271 7.3222
angles: 90.00 90.06 90.00
Sites, in units of the cell vectors:
Ca 0.0004 0.0000 0.7536
Tl 0.5000 0.5000 0.5000
Te 0.5000 0.5000 0.0000
Ca 0.9996 0.0000 0.2464

Output
Energy above the most stable polymorph in this dataset, meV per atom: 0
Final energy, eV/cell: -13.97
Density of states at the Fermi level, states/eV/f.u.: 2.125
ΔE_f (raw), eV/atom: -0.8864
Crystal system: monoclinic
Calculated density, g cm⁻³: 6.1
Space group: P2/m

(19)
This record from Alexandria describes crystalline CaTlTe3 at its relaxed geometry. The functional is PBEsol.

abc: 5.7658 5.7658 5.7658
angles: 90.00 90.00 90.00
Sites, in units of the cell vectors:
Te 0.0000 0.0000 0.5000
Tl 0.5000 0.5000 0.5000
Te 0.5000 0.0000 0.0000
Te 0.0000 0.5000 0.0000
Ca 0.0000 0.0000 0.0000

Output
Final energy, eV/cell: -15.89
Density of states at the Fermi level, states/eV/f.u.: 6.542
ΔE_f (raw), eV/atom: -0.1087
Crystal system: cubic
Calculated density, g cm⁻³: 5.4
Space group: Pm-3m

(20)
This record from Alexandria describes crystalline Ca2TlTe2 at its relaxed geometry. The functional is PBEsol.

abc: 4.0388 8.6342 8.6342
angles: 90.00 90.00 90.00
Sites, in units of the cell vectors:
Te 0.0000 0.1497 0.3503
Tl 0.0000 0.0000 0.0000
Ca 0.5000 0.8476 0.3476
Te 0.0000 0.3503 0.8503
Ca 0.5000 0.3476 0.1524
Ca 0.5000 0.6524 0.8476
Te 0.0000 0.6497 0.1497
Tl 0.0000 0.5000 0.5000
Te 0.0000 0.8503 0.6497
Ca 0.5000 0.1524 0.6524

Output
Final energy, eV/cell: -38.87
Density of states at the Fermi level, states/eV/f.u.: 1.139
ΔE_f (raw), eV/atom: -1.0973
Crystal system: tetragonal
Calculated density, g cm⁻³: 6.0
Space group: P4/mbm